1.
Below is crystalline TlSiOs2 at its relaxed geometry, with properties calculated at the PBE level.

Lattice parameters (Å, degrees): 8.911 8.911 8.911 19.15 19.15 19.15
Element x y z (fractional)
Tl 0.000 0.000 0.000
Si 0.239 0.239 0.239
Os 0.505 0.505 0.505
Os 0.759 0.759 0.759

Summary:
Density   15.30 Mg/m³
VASP energy   -6.989 eV per atom
Formation energy without anion corrections   0.57 eV/atom
Polymorph energy (0 for the lowest one)   179.9 meV/atom

=====

2.
Below is crystalline Tl2SiOs at its relaxed geometry, with properties calculated at the PBE level.

Lattice parameters (Å, degrees): 3.901 5.440 5.440 47.44 90.00 90.00
Element x y z (fractional)
Tl 0.000 0.000 0.000
Tl 0.500 0.303 0.303
Si 0.500 0.585 0.585
Os 0.000 0.712 0.712

Summary:
Density   12.25 Mg/m³
VASP energy   -4.871 eV per atom
Formation energy without anion corrections   0.48 eV/atom
Polymorph energy (0 for the lowest one)   259.8 meV/atom

=====

3.
Below is crystalline Tl2SiOs at its relaxed geometry, with properties calculated at the PBE level.

Lattice parameters (Å, degrees): 5.490 5.490 5.490 143.56 124.74 68.01
Element x y z (fractional)
Tl 0.249 0.249 0.000
Tl 0.751 0.751 0.000
Si 0.500 0.000 0.500
Os 0.000 0.500 0.500

Summary:
Density   13.09 Mg/m³
VASP energy   -4.317 eV per atom
Formation energy without anion corrections   1.03 eV/atom
Polymorph energy (0 for the lowest one)   814.1 meV/atom

=====

4.
Below is crystalline TlSi2Os at its relaxed geometry, with properties calculated at the PBE level.

Lattice parameters (Å, degrees): 5.255 5.255 5.255 145.08 122.38 69.18
Element x y z (fractional)
Tl 0.000 0.000 0.000
Si 0.495 0.495 0.000
Si 0.723 0.223 0.500
Os 0.289 0.789 0.500

Summary:
Density   10.83 Mg/m³
VASP energy   -5.439 eV per atom
Formation energy without anion corrections   0.67 eV/atom
Polymorph energy (0 for the lowest one)   540.2 meV/atom

=====

5.
Below is crystalline TlSi2Os at its relaxed geometry, with properties calculated at the PBE level.

Lattice parameters (Å, degrees): 4.671 4.671 3.231 90.54 90.54 108.44
Element x y z (fractional)
Tl 0.000 0.000 0.000
Si 0.000 0.500 0.500
Si 0.500 0.000 0.500
Os 0.500 0.500 0.000

Summary:
Density   11.20 Mg/m³
VASP energy   -5.286 eV per atom
Formation energy without anion corrections   0.82 eV/atom
Polymorph energy (0 for the lowest one)   693.4 meV/atom

=====

6.
Below is crystalline Tl2SiOs at its relaxed geometry, with properties calculated at the PBE level.

Lattice parameters (Å, degrees): 7.748 7.748 7.748 95.02 95.02 145.58
Element x y z (fractional)
Tl 0.000 0.000 0.000
Tl 0.000 0.000 0.500
Tl 0.000 0.500 0.000
Tl 0.500 0.000 0.500
Si 0.375 0.625 0.750
Si 0.625 0.375 0.250
Os 0.125 0.875 0.250
Os 0.875 0.125 0.750

Summary:
Density   8.29 Mg/m³
VASP energy   -5.057 eV per atom
Formation energy without anion corrections   0.29 eV/atom
Polymorph energy (0 for the lowest one)   74.0 meV/atom

=====

7.
Below is crystalline TlSiOs2 at its relaxed geometry, with properties calculated at the PBE level.

Lattice parameters (Å, degrees): 5.349 5.349 5.349 148.78 124.33 65.22
Element x y z (fractional)
Tl 0.000 0.000 0.000
Si 0.500 0.500 0.000
Os 0.284 0.784 0.500
Os 0.716 0.216 0.500

Summary:
Density   15.71 Mg/m³
VASP energy   -6.983 eV per atom
Formation energy without anion corrections   0.58 eV/atom
Polymorph energy (0 for the lowest one)   185.8 meV/atom

=====

8.
Below is crystalline TlSi2Os at its relaxed geometry, with properties calculated at the PBE level.

Lattice parameters (Å, degrees): 4.888 4.888 4.888 130.07 130.07 73.29
Element x y z (fractional)
Tl 0.000 0.000 0.000
Si 0.500 0.500 0.000
Si 0.750 0.250 0.500
Os 0.250 0.750 0.500

Summary:
Density   11.21 Mg/m³
VASP energy   -5.194 eV per atom
Formation energy without anion corrections   0.92 eV/atom
Polymorph energy (0 for the lowest one)   785.6 meV/atom

=====

9.
Below is crystalline Tl2Si2Os at its relaxed geometry, with properties calculated at the PBE level.

Lattice parameters (Å, degrees): 8.039 8.039 8.039 152.20 152.20 39.72
Element x y z (fractional)
Tl 0.250 0.750 0.500
Tl 0.750 0.250 0.500
Si 0.076 0.076 0.000
Si 0.924 0.924 0.000
Os 0.500 0.500 0.000

Summary:
Density   9.65 Mg/m³
VASP energy   -4.100 eV per atom
Formation energy without anion corrections   1.26 eV/atom

=====

10.
Below is crystalline Tl2SiOs at its relaxed geometry, with properties calculated at the PBE level.

Lattice parameters (Å, degrees): 10.434 10.434 10.434 16.85 16.85 16.85
Element x y z (fractional)
Tl 0.243 0.243 0.243
Tl 0.757 0.757 0.757
Si 0.000 0.000 0.000
Os 0.500 0.500 0.500

Summary:
Density   12.51 Mg/m³
VASP energy   -4.341 eV per atom
Formation energy without anion corrections   1.01 eV/atom
Polymorph energy (0 for the lowest one)   789.9 meV/atom

=====

11.
Below is crystalline TlSi2Os at its relaxed geometry, with properties calculated at the PBE level.

Lattice parameters (Å, degrees): 4.555 4.555 4.555 60.00 60.00 60.00
Element x y z (fractional)
Tl 0.000 0.000 0.000
Si 0.250 0.250 0.250
Si 0.750 0.750 0.750
Os 0.500 0.500 0.500

Summary:
Density   11.20 Mg/m³
VASP energy   -5.299 eV per atom
Formation energy without anion corrections   0.81 eV/atom
Polymorph energy (0 for the lowest one)   680.7 meV/atom

=====

12.
Below is crystalline TlSi2Os at its relaxed geometry, with properties calculated at the PBE level.

Lattice parameters (Å, degrees): 8.524 8.524 8.524 21.04 21.04 21.04
Element x y z (fractional)
Tl 0.000 0.000 0.000
Si 0.234 0.234 0.234
Si 0.495 0.495 0.495
Os 0.764 0.764 0.764

Summary:
Density   10.71 Mg/m³
VASP energy   -5.629 eV per atom
Formation energy without anion corrections   0.48 eV/atom
Polymorph energy (0 for the lowest one)   349.8 meV/atom